--- A ---
Compound: PaBeTc
Source: Alexandria via LeMat-Bulk
Functional: PBE
Structure: optimized geometry

Calculated values
Its space-group type is P-6m2.

a b c (Å): 4.0229 4.0229 3.7100
angles (deg): 90.00 90.00 120.00
Closest atoms and distances in Å follow each position.
Fractional coordinates of all 3 atoms:
Pa: 0.0000 0.0000 0.0000  6 Be 2.97, 6 Tc 2.97
Be: 0.6667 0.3333 0.5000  3 Tc 2.32
Tc: 0.3333 0.6667 0.5000  3 Be 2.32

---

--- B ---
Compound: PaBeTc
Source: Alexandria via LeMat-Bulk
Functional: PBE
Structure: optimized geometry

Calculated values
Its space-group type is I4mm.

a b c (Å): 4.8706 4.8706 4.8706
angles (deg): 135.34 135.34 65.00
Closest atoms and distances in Å follow each position.
Fractional coordinates of all 3 atoms:
Pa: 0.0000 0.0000 0.0000  5 Be 2.69-2.98, 4 Tc 2.76
Be: 0.3274 0.3274 0.0000  1 Tc 2.29
Tc: 0.6056 0.6056 0.0000  1 Be 2.29

---

Which of them is the most stable, and which is the least stable? A and B, in that order.

---

--- A ---
Compound: ThPaBe
Source: Alexandria via LeMat-Bulk
Functional: PBE
Structure: optimized geometry

Calculated values
Its space-group type is Fddd.

a b c (Å): 10.8811 10.1845 5.5875
angles (deg): 81.64 67.83 30.53
Closest atoms and distances in Å follow each position.
Fractional coordinates of all 12 atoms:
Th: 0.0468 0.7032 0.0468  4 Be 2.93-2.95, 2 Th 3.24
Th: 0.2968 0.9532 0.2968  4 Be 2.93-2.95, 2 Th 3.24
Th: 0.7032 0.0468 0.7032  4 Be 2.93-2.95, 2 Th 3.24
Th: 0.9532 0.2968 0.9532  4 Be 2.93-2.95, 2 Th 3.24
Pa: 0.2901 0.2901 0.4599  4 Be 2.91-2.97, 2 Pa 3.20
Pa: 0.4599 0.4599 0.2901  4 Be 2.91-2.97, 2 Pa 3.20
Pa: 0.5401 0.5401 0.7099  4 Be 2.91-2.97, 2 Pa 3.20
Pa: 0.7099 0.7099 0.5401  4 Be 2.91-2.97, 2 Pa 3.20
Be: 0.0013 0.0013 0.2487  2 Be 2.79, 4 Pa 2.91-2.97, 4 Th 2.93-2.95
Be: 0.2487 0.2487 0.0013  2 Be 2.79, 4 Pa 2.91-2.97, 4 Th 2.93-2.95
Be: 0.7513 0.7513 0.9987  2 Be 2.79, 4 Pa 2.91-2.97, 4 Th 2.93-2.95
Be: 0.9987 0.9987 0.7513  2 Be 2.79, 4 Pa 2.91-2.97, 4 Th 2.93-2.95

---

--- B ---
Compound: ThPaBe
Source: Alexandria via LeMat-Bulk
Functional: PBE
Structure: optimized geometry

Calculated values
Its space-group type is I4mm.

a b c (Å): 6.3568 6.3568 6.3568
angles (deg): 148.80 148.80 44.70
Closest atoms and distances in Å follow each position.
Fractional coordinates of all 3 atoms:
Th: 0.0000 0.0000 0.0000  4 Be 2.98, 1 Pa 3.31
Pa: 0.2815 0.2815 0.0000  4 Be 2.88
Be: 0.6487 0.6487 0.0000  4 Pa 2.88, 4 Th 2.98

---

Which of them is the most stable, and which is the least stable? A and B, in that order.

---

--- A ---
Compound: Pa2BeTl
Source: Alexandria via LeMat-Bulk
Functional: PBE
Structure: optimized geometry

Calculated values
Its space-group type is R-3m.

a b c (Å): 10.3228 10.3228 10.3228
angles (deg): 17.72 17.72 17.72
Closest atoms and distances in Å follow each position.
Fractional coordinates of all 4 atoms:
Pa: 0.2375 0.2375 0.2375  3 Be 2.83
Pa: 0.7625 0.7625 0.7625  3 Be 2.83
Be: 0.5000 0.5000 0.5000  6 Pa 2.83
Tl: 0.0000 0.0000 0.0000  6 Tl 3.18, 6 Pa 3.45

---

--- B ---
Compound: Pa2BeTl
Source: Alexandria via LeMat-Bulk
Functional: PBE
Structure: optimized geometry

Calculated values
Its space-group type is P4/mmm.

a b c (Å): 3.1316 3.1316 8.8143
angles (deg): 90.00 90.00 90.00
Closest atoms and distances in Å follow each position.
Fractional coordinates of all 4 atoms:
Pa: 0.0000 0.0000 0.2053  4 Be 2.86, 4 Pa 3.13
Pa: 0.0000 0.0000 0.7947  4 Be 2.86, 4 Pa 3.13
Be: 0.5000 0.5000 0.0000  8 Pa 2.86, 4 Be 3.13
Tl: 0.5000 0.5000 0.5000  4 Tl 3.13, 8 Pa 3.41

---

Which of them is the most stable, and which is the least stable? B and A, in that order.

---

--- A ---
Compound: UPaBe
Source: Alexandria via LeMat-Bulk
Functional: PBE
Structure: optimized geometry

Calculated values
Its space-group type is I4/mmm.

a b c (Å): 9.6246 9.6246 9.6246
angles (deg): 158.47 158.47 30.64
Closest atoms and distances in Å follow each position.
Fractional coordinates of all 6 atoms:
U: 0.0869 0.0869 0.0000  4 Be 2.63
U: 0.9131 0.9131 0.0000  4 Be 2.63
Pa: 0.3060 0.3060 0.0000  1 Be 2.66
Pa: 0.6940 0.6940 0.0000  1 Be 2.66
Be: 0.4493 0.4493 0.0000  1 Be 1.88
Be: 0.5507 0.5507 0.0000  1 Be 1.88

---

--- B ---
Compound: UPaBe
Source: Alexandria via LeMat-Bulk
Functional: PBE
Structure: optimized geometry

Calculated values
Its space-group type is I4mm.

a b c (Å): 7.0515 7.0515 7.0515
angles (deg): 156.76 156.76 33.10
Closest atoms and distances in Å follow each position.
Fractional coordinates of all 3 atoms:
U: 0.0000 0.0000 0.0000  4 Be 2.83, 4 U 2.84
Pa: 0.3015 0.3015 0.0000  4 Pa 2.84, 4 Be 2.89
Be: 0.6475 0.6475 0.0000  4 U 2.83, 4 Be 2.84, 4 Pa 2.89

---

Which of them is the most stable, and which is the least stable? B and A, in that order.

---

--- A ---
Compound: PaBeV2
Source: Alexandria via LeMat-Bulk
Functional: PBE
Structure: optimized geometry

Calculated values
Its space-group type is Fm-3m.

a b c (Å): 4.3546 4.3546 4.3546
angles (deg): 60.00 60.00 60.00
Closest atoms and distances in Å follow each position.
Fractional coordinates of all 4 atoms:
Pa: 0.0000 0.0000 0.0000  8 V 2.67
Be: 0.5000 0.5000 0.5000  8 V 2.67
V: 0.2500 0.2500 0.2500  4 Be 2.67, 4 Pa 2.67
V: 0.7500 0.7500 0.7500  4 Be 2.67, 4 Pa 2.67

---

--- B ---
Compound: PaBeV2
Source: Alexandria via LeMat-Bulk
Functional: PBE
Structure: optimized geometry

Calculated values
Its space-group type is P4/mmm.

a b c (Å): 4.2056 4.2056 3.3862
angles (deg): 90.00 90.00 90.00
Closest atoms and distances in Å follow each position.
Fractional coordinates of all 4 atoms:
Pa: 0.0000 0.0000 0.0000  8 V 2.70, 4 Be 2.97
Be: 0.5000 0.5000 0.0000  8 V 2.70, 4 Pa 2.97
V: 0.0000 0.5000 0.5000  4 Pa 2.70, 4 Be 2.70, 4 V 2.97
V: 0.5000 0.0000 0.5000  4 Pa 2.70, 4 Be 2.70, 4 V 2.97

---

--- C ---
Compound: PaBeV2
Source: Alexandria via LeMat-Bulk
Functional: PBE
Structure: optimized geometry

Calculated values
Its space-group type is P4/mmm.

a b c (Å): 3.1160 3.1160 6.3801
angles (deg): 90.00 90.00 90.00
Closest atoms and distances in Å follow each position.
Fractional coordinates of all 4 atoms:
Pa: 0.0000 0.0000 0.0000  8 V 3.07, 4 Pa 3.12, 2 Be 3.19
Be: 0.0000 0.0000 0.5000  8 V 2.44
V: 0.5000 0.5000 0.3351  1 V 2.10
V: 0.5000 0.5000 0.6649  1 V 2.10

---

Which of them is the most stable, and which is the least stable? A and C, in that order.

---

--- A ---
Compound: ZrPaBe
Source: Alexandria via LeMat-Bulk
Functional: PBE
Structure: optimized geometry

Calculated values
Its space-group type is P3m1.

a b c (Å): 4.6878 4.6878 3.1499
angles (deg): 90.00 90.00 120.00
Closest atoms and distances in Å follow each position.
Fractional coordinates of all 3 atoms:
Zr: 0.0000 0.0000 0.0000  3 Be 2.74, 3 Pa 3.06
Pa: 0.6667 0.3333 0.5490  6 Be 2.99-3.29, 6 Zr 3.06-3.21, 2 Pa 3.15
Be: 0.3333 0.6667 0.1427  3 Zr 2.74, 3 Pa 2.99

---

--- B ---
Compound: ZrPaBe
Source: Alexandria via LeMat-Bulk
Functional: PBE
Structure: optimized geometry

Calculated values
Its space-group type is I4mm.

a b c (Å): 6.6529 6.6529 6.6529
angles (deg): 153.64 153.64 37.62
Closest atoms and distances in Å follow each position.
Fractional coordinates of all 3 atoms:
Zr: 0.0000 0.0000 0.0000  4 Be 2.75, 4 Zr 3.03
Pa: 0.7112 0.7112 0.0000  4 Be 2.88, 4 Pa 3.03
Be: 0.3632 0.3632 0.0000  4 Zr 2.75, 4 Pa 2.88, 4 Be 3.03

---

Which of them is the most stable, and which is the least stable? B and A, in that order.

---

--- A ---
Compound: Be3Pb
Source: Alexandria via LeMat-Bulk
Functional: PBE
Structure: optimized geometry

Calculated values
Its space-group type is Cmcm.

a b c (Å): 6.3528 6.3528 3.4803
angles (deg): 90.00 90.00 116.54
Closest atoms and distances in Å follow each position.
Fractional coordinates of all 8 atoms:
Be: 0.1060 0.2216 0.7500  6 Be 2.14-2.19
Be: 0.1160 0.8840 0.7500  6 Be 2.15-2.17
Be: 0.2216 0.1060 0.2500  6 Be 2.14-2.19
Be: 0.7784 0.8940 0.7500  6 Be 2.14-2.19
Be: 0.8840 0.1160 0.2500  6 Be 2.15-2.17
Be: 0.8940 0.7784 0.2500  6 Be 2.14-2.19
Pb: 0.3349 0.6651 0.2500  8 Be 2.94-3.19
Pb: 0.6651 0.3349 0.7500  8 Be 2.94-3.19

---

--- B ---
Compound: Be3Pb
Source: Alexandria via LeMat-Bulk
Functional: PBE
Structure: optimized geometry

Calculated values
Its space-group type is P-6m2.

a b c (Å): 3.9033 3.9033 4.7180
angles (deg): 90.00 90.00 120.00
Closest atoms and distances in Å follow each position.
Fractional coordinates of all 4 atoms:
Be: 0.0000 0.0000 0.0000  2 Pb 2.36, 6 Be 2.49
Be: 0.3333 0.6667 0.2242  1 Be 2.12
Be: 0.3333 0.6667 0.7758  1 Be 2.12
Pb: 0.0000 0.0000 0.5000  8 Be 2.36-2.60

---

Which of them is the most stable, and which is the least stable? A and B, in that order.

---

--- A ---
Compound: Be3Pb
Source: Alexandria via LeMat-Bulk
Functional: PBE
Structure: optimized geometry

Calculated values
Its space-group type is Pm-3n.

a b c (Å): 4.8621 4.8621 4.8621
angles (deg): 90.00 90.00 90.00
Closest atoms and distances in Å follow each position.
Fractional coordinates of all 8 atoms:
Be: 0.0000 0.2500 0.5000  2 Be 2.43, 4 Pb 2.72
Be: 0.0000 0.7500 0.5000  2 Be 2.43, 4 Pb 2.72
Be: 0.2500 0.5000 0.0000  2 Be 2.43, 4 Pb 2.72
Be: 0.5000 0.0000 0.2500  2 Be 2.43, 4 Pb 2.72
Be: 0.5000 0.0000 0.7500  2 Be 2.43, 4 Pb 2.72
Be: 0.7500 0.5000 0.0000  2 Be 2.43, 4 Pb 2.72
Pb: 0.0000 0.0000 0.0000  12 Be 2.72
Pb: 0.5000 0.5000 0.5000  12 Be 2.72

---

--- B ---
Compound: Be3Pb
Source: Alexandria via LeMat-Bulk
Functional: PBE
Structure: optimized geometry

Calculated values
Its space-group type is R-3m.

a b c (Å): 5.6259 5.6259 5.6259
angles (deg): 38.42 38.42 38.42
Closest atoms and distances in Å follow each position.
Fractional coordinates of all 4 atoms:
Be: 0.0000 0.0000 0.0000  6 Be 2.14
Be: 0.3227 0.3227 0.3227  6 Be 2.14-2.16
Be: 0.6773 0.6773 0.6773  6 Be 2.14-2.16
Pb: 0.5000 0.5000 0.5000  2 Be 2.77

---

Which of them is the most stable, and which is the least stable? B and A, in that order.